No. 1
Crystalline Ac2Sn3Ir4Au at its relaxed geometry, computed with PBE.

Cell lengths 4.4594, 4.4594, 11.4042 Å; angles 90.00, 90.00, 90.00 degrees
Last column: nearest neighbours and their distance in Å.
Fractional coordinates of all 10 atoms:
Ac  0.0000  0.5000  0.2440  8 Ir 3.36-3.67, 6 Sn 3.48-3.57, 2 Au 3.57
Ac  0.5000  0.0000  0.7560  8 Ir 3.36-3.67, 6 Sn 3.48-3.57, 2 Au 3.57
Sn  0.0000  0.0000  0.0000  4 Ir 2.76
Sn  0.0000  0.5000  0.6261  5 Ir 2.64-2.65
Sn  0.5000  0.0000  0.3739  5 Ir 2.64-2.65
Ir  0.0000  0.0000  0.5000  4 Sn 2.65
Ir  0.0000  0.5000  0.8572  3 Sn 2.64-2.76, 2 Au 2.76
Ir  0.5000  0.0000  0.1428  3 Sn 2.64-2.76, 2 Au 2.76
Ir  0.5000  0.5000  0.5000  4 Sn 2.65
Au  0.5000  0.5000  0.0000  4 Ir 2.76

Output
Energy of formation from the pure elements: -5.01 eV/f.u.
Total DFT energy (no corrections): -6.396 eV per atom


No. 2
Crystalline Sr2Ac5Ir2Au2 at its relaxed geometry, computed with PBE.

Cell lengths 14.1179, 14.1179, 14.1179 Å; angles 155.90, 155.90, 34.35 degrees
Last column: nearest neighbours and their distance in Å.
Fractional coordinates of all 11 atoms:
Sr  0.2232  0.2232  0.0000  1 Au 3.10, 1 Ir 3.21
Sr  0.7768  0.7768  0.0000  1 Au 3.10, 1 Ir 3.21
Ac  0.0000  0.0000  0.0000  2 Ir 2.81
Ac  0.1155  0.6155  0.5000  2 Ir 2.96, 2 Au 3.20
Ac  0.3845  0.8845  0.5000  2 Ir 2.96, 2 Au 3.20
Ac  0.6155  0.1155  0.5000  2 Ir 2.96, 2 Au 3.20
Ac  0.8845  0.3845  0.5000  2 Ir 2.96, 2 Au 3.20
Ir  0.1043  0.1043  0.0000  5 Ac 2.81-2.96
Ir  0.8957  0.8957  0.0000  5 Ac 2.81-2.96
Au  0.3380  0.3380  0.0000  1 Sr 3.10, 4 Ac 3.20
Au  0.6620  0.6620  0.0000  1 Sr 3.10, 4 Ac 3.20

Output
Energy of formation from the pure elements: -4.96 eV/f.u.
Total DFT energy (no corrections): -4.831 eV per atom


No. 3
Crystalline Ac8Te4Ir3Au at its relaxed geometry, computed with PBE.

Cell lengths 9.5053, 9.5053, 9.5053 Å; angles 56.01, 56.01, 56.01 degrees
Last column: nearest neighbours and their distance in Å.
Fractional coordinates of all 16 atoms:
Ac  0.2233  0.7442  0.7442  2 Ir 3.04, 1 Au 3.17, 1 Te 3.38
Ac  0.2364  0.2364  0.2364  3 Ir 3.07
Ac  0.2558  0.2558  0.7767  2 Ir 3.04, 1 Au 3.17, 1 Te 3.38
Ac  0.2558  0.7767  0.2558  2 Ir 3.04, 1 Au 3.17, 1 Te 3.38
Ac  0.7442  0.2233  0.7442  2 Ir 3.04, 1 Au 3.17, 1 Te 3.38
Ac  0.7442  0.7442  0.2233  2 Ir 3.04, 1 Au 3.17, 1 Te 3.38
Ac  0.7636  0.7636  0.7636  3 Ir 3.07
Ac  0.7767  0.2558  0.2558  2 Ir 3.04, 1 Au 3.17, 1 Te 3.38
Te  0.0000  0.0000  0.0000  6 Ac 3.38
Te  0.0000  0.5000  0.5000  6 Ac 3.47-3.50
Te  0.5000  0.0000  0.5000  6 Ac 3.47-3.50
Te  0.5000  0.5000  0.0000  6 Ac 3.47-3.50
Ir  0.0000  0.0000  0.5000  6 Ac 3.04-3.07
Ir  0.0000  0.5000  0.0000  6 Ac 3.04-3.07
Ir  0.5000  0.0000  0.0000  6 Ac 3.04-3.07
Au  0.5000  0.5000  0.5000  6 Ac 3.17

Output
ΔE_f (raw): -17.96 eV per formula unit
Total DFT energy (no corrections): -5.828 eV per atom


No. 4
Crystalline Ac6Te3Ir2Au at its relaxed geometry, computed with PBE.

Cell lengths 7.7468, 7.7468, 8.4332 Å; angles 98.81, 98.81, 119.99 degrees
Last column: nearest neighbours and their distance in Å.
Fractional coordinates of all 12 atoms:
Ac  0.0760  0.4292  0.7866  2 Ir 3.03-3.04, 1 Au 3.23, 1 Te 3.39
Ac  0.2176  0.2176  0.2105  2 Ir 3.03, 1 Au 3.21, 1 Te 3.37
Ac  0.4292  0.0760  0.7866  2 Ir 3.03-3.04, 1 Au 3.23, 1 Te 3.39
Ac  0.5708  0.9240  0.2134  2 Ir 3.03-3.04, 1 Au 3.23, 1 Te 3.39
Ac  0.7824  0.7824  0.7895  2 Ir 3.03, 1 Au 3.21, 1 Te 3.37
Ac  0.9240  0.5708  0.2134  2 Ir 3.03-3.04, 1 Au 3.23, 1 Te 3.39
Te  0.0000  0.0000  0.5000  6 Ac 3.37-3.52
Te  0.3384  0.6616  0.5000  6 Ac 3.39-3.52
Te  0.6616  0.3384  0.5000  6 Ac 3.39-3.52
Ir  0.1672  0.8328  0.0000  6 Ac 3.03-3.04
Ir  0.8328  0.1672  0.0000  6 Ac 3.03-3.04
Au  0.5000  0.5000  0.0000  6 Ac 3.21-3.23

Output
ΔE_f (raw): -13.71 eV per formula unit
Total DFT energy (no corrections): -5.732 eV per atom


No. 5
Crystalline Ac6Tl3Ir2Au at its relaxed geometry, computed with PBE.

Cell lengths 7.5502, 7.5502, 8.8379 Å; angles 97.66, 97.66, 119.03 degrees
Last column: nearest neighbours and their distance in Å.
Fractional coordinates of all 12 atoms:
Ac  0.0767  0.4312  0.7925  2 Ir 2.99-3.00, 1 Au 3.23
Ac  0.2045  0.2045  0.1885  2 Ir 2.98, 1 Au 3.14
Ac  0.4312  0.0767  0.7925  2 Ir 2.99-3.00, 1 Au 3.23
Ac  0.5688  0.9233  0.2075  2 Ir 2.99-3.00, 1 Au 3.23
Ac  0.7955  0.7955  0.8115  2 Ir 2.98, 1 Au 3.14
Ac  0.9233  0.5688  0.2075  2 Ir 2.99-3.00, 1 Au 3.23
Tl  0.0000  0.0000  0.5000  6 Ac 3.51-3.63
Tl  0.3668  0.6332  0.5000  1 Tl 3.47, 6 Ac 3.53-3.73
Tl  0.6332  0.3668  0.5000  1 Tl 3.47, 6 Ac 3.53-3.73
Ir  0.1722  0.8278  0.0000  6 Ac 2.98-3.00
Ir  0.8278  0.1722  0.0000  6 Ac 2.98-3.00
Au  0.5000  0.5000  0.0000  6 Ac 3.14-3.23

Output
Energy of formation from the pure elements: -6.37 eV/f.u.
Total DFT energy (no corrections): -4.926 eV per atom


No. 6
Crystalline Ac2Zn4Ir3Au at its relaxed geometry, computed with PBE.

Cell lengths 4.2886, 4.2886, 10.9895 Å; angles 90.00, 90.00, 90.00 degrees
Last column: nearest neighbours and their distance in Å.
Fractional coordinates of all 10 atoms:
Ac  0.0000  0.5000  0.2453  6 Ir 3.26-3.53, 8 Zn 3.31-3.44, 2 Au 3.53
Ac  0.5000  0.0000  0.7547  6 Ir 3.26-3.53, 8 Zn 3.31-3.44, 2 Au 3.53
Zn  0.0000  0.0000  0.0000  4 Ir 2.61
Zn  0.0000  0.5000  0.6329  3 Ir 2.54-2.59, 2 Au 2.59
Zn  0.5000  0.0000  0.3671  3 Ir 2.54-2.59, 2 Au 2.59
Zn  0.5000  0.5000  0.0000  4 Ir 2.61
Ir  0.0000  0.5000  0.8641  5 Zn 2.54-2.61
Ir  0.5000  0.0000  0.1359  5 Zn 2.54-2.61
Ir  0.5000  0.5000  0.5000  4 Zn 2.59
Au  0.0000  0.0000  0.5000  4 Zn 2.59

Output
Energy of formation from the pure elements: -4.44 eV/f.u.
Total DFT energy (no corrections): -4.762 eV per atom


No. 7
Crystalline Ac2Zn4IrAu3 at its relaxed geometry, computed with PBE.

Cell lengths 4.5436, 4.5436, 10.4829 Å; angles 90.00, 90.00, 90.00 degrees
Last column: nearest neighbours and their distance in Å.
Fractional coordinates of all 10 atoms:
Ac  0.0000  0.5000  0.2341  2 Ir 3.34, 6 Au 3.34-3.50, 9 Zn 3.44-3.69
Ac  0.5000  0.0000  0.7659  2 Ir 3.34, 6 Au 3.34-3.50, 9 Zn 3.44-3.69
Zn  0.0000  0.0000  0.5000  4 Au 2.67
Zn  0.0000  0.5000  0.8822  2 Ir 2.59, 3 Au 2.59-2.61
Zn  0.5000  0.0000  0.1178  2 Ir 2.59, 3 Au 2.59-2.61
Zn  0.5000  0.5000  0.5000  4 Au 2.67
Ir  0.5000  0.5000  0.0000  4 Zn 2.59
Au  0.0000  0.0000  0.0000  4 Zn 2.59
Au  0.0000  0.5000  0.6333  5 Zn 2.61-2.67
Au  0.5000  0.0000  0.3667  5 Zn 2.61-2.67

Output
Energy of formation from the pure elements: -5.11 eV/f.u.
Total DFT energy (no corrections): -3.711 eV per atom


No. 8
Crystalline KAcAu10 at its relaxed geometry, computed with PBE.

Cell lengths 4.6097, 5.8248, 9.9434 Å; angles 90.00, 90.00, 90.00 degrees
Last column: nearest neighbours and their distance in Å.
Fractional coordinates of all 12 atoms:
K  0.0000  0.0000  0.0000  6 Au 3.29-3.35
Ac  0.0000  0.5000  0.5000  14 Au 3.31-3.63
Au  0.0000  0.0000  0.3312  6 Au 2.84-2.85
Au  0.0000  0.0000  0.6688  6 Au 2.84-2.85
Au  0.0000  0.5000  0.1673  6 Au 2.84-2.85
Au  0.0000  0.5000  0.8327  6 Au 2.84-2.85
Au  0.5000  0.0000  0.5000  8 Au 2.84-2.85
Au  0.5000  0.2563  0.2572  8 Au 2.84-2.99
Au  0.5000  0.2563  0.7428  8 Au 2.84-2.99
Au  0.5000  0.5000  0.0000  8 Au 2.84-2.92
Au  0.5000  0.7437  0.2572  8 Au 2.84-2.99
Au  0.5000  0.7437  0.7428  8 Au 2.84-2.99

Output
Energy of formation from the pure elements: -4.22 eV/f.u.
Total DFT energy (no corrections): -3.517 eV per atom


No. 9
Crystalline KAc4Au5 at its relaxed geometry, computed with PBE.

Cell lengths 3.9127, 3.9127, 20.0295 Å; angles 90.00, 90.00, 90.00 degrees
Last column: nearest neighbours and their distance in Å.
Fractional coordinates of all 10 atoms:
K  0.0000  0.0000  0.0000  8 Au 3.69, 4 K 3.91, 2 Ac 4.10
Ac  0.0000  0.0000  0.2046  8 Au 3.22-3.41
Ac  0.0000  0.0000  0.4028  8 Au 3.38-3.40
Ac  0.0000  0.0000  0.5972  8 Au 3.38-3.40
Ac  0.0000  0.0000  0.7954  8 Au 3.22-3.41
Au  0.5000  0.5000  0.1222  4 Ac 3.22
Au  0.5000  0.5000  0.3041  8 Ac 3.40-3.41, 1 Au 3.65
Au  0.5000  0.5000  0.5000  8 Ac 3.38
Au  0.5000  0.5000  0.6959  8 Ac 3.40-3.41, 1 Au 3.65
Au  0.5000  0.5000  0.8778  4 Ac 3.22

Output
Energy of formation from the pure elements: -6.82 eV/f.u.
Total DFT energy (no corrections): -4.074 eV per atom


No. 10
Crystalline KAc2Au at its relaxed geometry, computed with PBE.

Cell lengths 4.2845, 4.2845, 36.8759 Å; angles 90.00, 90.00, 120.00 degrees
Last column: nearest neighbours and their distance in Å.
Fractional coordinates of all 12 atoms:
K  0.0000  0.0000  0.0000  2 Ac 4.22, 6 K 4.28
K  0.3333  0.6667  0.6667  2 Ac 4.22, 6 K 4.28
K  0.6667  0.3333  0.3333  2 Ac 4.22, 6 K 4.28
Ac  0.0000  0.0000  0.1144  3 Au 3.14
Ac  0.0000  0.0000  0.8856  3 Au 3.14
Ac  0.3333  0.6667  0.5523  3 Au 3.14
Ac  0.3333  0.6667  0.7811  3 Au 3.14
Ac  0.6667  0.3333  0.2189  3 Au 3.14
Ac  0.6667  0.3333  0.4477  3 Au 3.14
Au  0.0000  0.0000  0.5000  6 Ac 3.14
Au  0.3333  0.6667  0.1667  6 Ac 3.14
Au  0.6667  0.3333  0.8333  6 Ac 3.14

Output
Energy of formation from the pure elements: -0.73 eV/f.u.
Total DFT energy (no corrections): -3.331 eV per atom


No. 11
Crystalline K2AcAu at its relaxed geometry, computed with PBE.

Cell lengths 4.0374, 4.0374, 37.8648 Å; angles 90.00, 90.00, 120.00 degrees
Last column: nearest neighbours and their distance in Å.
Fractional coordinates of all 12 atoms:
K  0.0000  0.0000  0.1064  3 Au 3.26
K  0.0000  0.0000  0.8936  3 Au 3.26
K  0.3333  0.6667  0.5603  3 Au 3.26
K  0.3333  0.6667  0.7731  3 Au 3.26
K  0.6667  0.3333  0.2269  3 Au 3.26
K  0.6667  0.3333  0.4397  3 Au 3.26
Ac  0.0000  0.0000  0.0000  2 K 4.03, 6 Ac 4.04
Ac  0.3333  0.6667  0.6667  2 K 4.03, 6 Ac 4.04
Ac  0.6667  0.3333  0.3333  2 K 4.03, 6 Ac 4.04
Au  0.0000  0.0000  0.5000  6 K 3.26
Au  0.3333  0.6667  0.1667  6 K 3.26
Au  0.6667  0.3333  0.8333  6 K 3.26

Output
Energy of formation from the pure elements: 0.41 eV/f.u.
Total DFT energy (no corrections): -2.292 eV per atom


No. 12
Crystalline K2AcAu2O6 at its relaxed geometry, computed with PBE.

Cell lengths 6.6619, 6.6619, 8.1320 Å; angles 120.13, 120.13, 53.43 degrees
Last column: nearest neighbours and their distance in Å.
Fractional coordinates of all 11 atoms:
K  0.2170  0.2170  0.0957  4 O 2.75-2.82
K  0.7830  0.7830  0.9043  4 O 2.75-2.82
Ac  0.0000  0.0000  0.5000  6 O 2.47-2.48
Au  0.4211  0.4211  0.7455  3 O 1.92-1.97
Au  0.5789  0.5789  0.2545  3 O 1.92-1.97
O  0.2254  0.6847  0.2394  1 Au 1.97
O  0.2518  0.2518  0.7234  1 Au 1.92
O  0.3153  0.7746  0.7606  1 Au 1.97
O  0.6847  0.2254  0.2394  1 Au 1.97
O  0.7482  0.7482  0.2766  1 Au 1.92
O  0.7746  0.3153  0.7606  1 Au 1.97

Output
ΔE_f (raw): -11.32 eV per formula unit
Total DFT energy (no corrections): -4.902 eV per atom